--- one ---
Density functional theory data (PBE) for an optimized crystal structure of LaBi. Values from VASP.

Summary:
Calculated density: 4.64 g/cm³
SG: No. 223
Size of the total moment: 0.0 μB per cell

Geometry as Quantum ESPRESSO input:
```
&SYSTEM
  ibrav = 0, nat = 12, ntyp = 2
/
ATOMIC_SPECIES
La 138.91 La.upf
Bi 208.98 Bi.upf
ATOMIC_POSITIONS crystal
La 0.5000 0.2500 0.0000
La 0.2500 0.0000 0.5000
La 0.0000 0.5000 0.7500
La 0.0000 0.5000 0.2500
La 0.7500 0.0000 0.5000
La 0.5000 0.7500 0.0000
Bi 0.0000 0.7500 0.5000
Bi 0.7500 0.5000 0.0000
Bi 0.5000 0.0000 0.2500
Bi 0.5000 0.0000 0.7500
Bi 0.2500 0.5000 0.0000
Bi 0.0000 0.2500 0.5000
CELL_PARAMETERS angstrom
9.0706 0.0000 0.0000
0.0000 9.0706 0.0000
0.0000 0.0000 9.0706
```

=====

--- two ---
Density functional theory data (PBE) for an optimized crystal structure of LaBi. Values from VASP.

Summary:
Calculated density: 4.45 g/cm³
SG: No. 217
Size of the total moment: 0.0 μB per cell

Geometry as Quantum ESPRESSO input:
```
&SYSTEM
  ibrav = 0, nat = 16, ntyp = 2
/
ATOMIC_SPECIES
Bi 208.98 Bi.upf
La 138.91 La.upf
ATOMIC_POSITIONS crystal
Bi 0.3377 0.3377 0.3377
Bi 0.6623 0.6623 0.3377
Bi 0.8377 0.8377 0.8377
Bi 0.1623 0.1623 0.8377
Bi 0.8377 0.1623 0.1623
Bi 0.1623 0.8377 0.1623
Bi 0.3377 0.6623 0.6623
Bi 0.6623 0.3377 0.6623
La 0.8453 0.8453 0.1547
La 0.3453 0.6547 0.3453
La 0.6547 0.6547 0.6547
La 0.3453 0.3453 0.6547
La 0.8453 0.1547 0.8453
La 0.6547 0.3453 0.3453
La 0.1547 0.8453 0.8453
La 0.1547 0.1547 0.1547
CELL_PARAMETERS angstrom
10.1299 0.0000 0.0000
0.0000 10.1299 0.0000
0.0000 0.0000 10.1299
```

=====

--- three ---
Density functional theory data (PBE) for an optimized crystal structure of LaBi. Values from VASP.

Summary:
Calculated density: 5.69 g/cm³
SG: No. 216
Size of the total moment: 0.0 μB per cell

Geometry as Quantum ESPRESSO input:
```
&SYSTEM
  ibrav = 0, nat = 8, ntyp = 2
/
ATOMIC_SPECIES
La 138.91 La.upf
Bi 208.98 Bi.upf
ATOMIC_POSITIONS crystal
La 0.7500 0.2500 0.7500
La 0.2500 0.2500 0.2500
La 0.2500 0.7500 0.7500
La 0.7500 0.7500 0.2500
Bi 0.0000 0.5000 0.5000
Bi 0.5000 0.0000 0.5000
Bi 0.0000 0.0000 0.0000
Bi 0.5000 0.5000 0.0000
CELL_PARAMETERS angstrom
7.4032 0.0000 0.0000
0.0000 7.4032 0.0000
0.0000 0.0000 7.4032
```

=====

Which of them is most stable, and which least? Most stable: three; least stable: two.

=====

--- one ---
Density functional theory data (PBE) for an optimized crystal structure of LaBi. Values from VASP.

Summary:
Calculated density: 8.06 g/cm³
SG: No. 59
Size of the total moment: 0.0 μB per cell

Geometry as Quantum ESPRESSO input:
```
&SYSTEM
  ibrav = 0, nat = 12, ntyp = 2
/
ATOMIC_SPECIES
Bi 208.98 Bi.upf
La 138.91 La.upf
ATOMIC_POSITIONS crystal
Bi 0.0000 0.9692 0.5000
Bi 0.5000 0.0308 0.0000
Bi 0.0000 0.5318 0.8277
Bi 0.0000 0.5318 0.1723
Bi 0.5000 0.4682 0.3277
Bi 0.5000 0.4682 0.6723
La 0.0000 0.9684 0.3318
La 0.5000 0.0316 0.8318
La 0.5000 0.4706 0.5000
La 0.5000 0.0316 0.1682
La 0.0000 0.5294 0.0000
La 0.0000 0.9684 0.6682
CELL_PARAMETERS angstrom
-1.8203 -3.5253 -2.8567
2.1762 -3.1101 2.4513
-15.4487 -1.5469 11.7527
```

=====

--- two ---
Density functional theory data (PBE) for an optimized crystal structure of LaBi. Values from VASP.

Summary:
Calculated density: 8.26 g/cm³
SG: No. 11
Size of the total moment: 0.0 μB per cell

Geometry as Quantum ESPRESSO input:
```
&SYSTEM
  ibrav = 0, nat = 4, ntyp = 2
/
ATOMIC_SPECIES
Bi 208.98 Bi.upf
La 138.91 La.upf
ATOMIC_POSITIONS crystal
Bi 0.6141 0.2500 0.2300
Bi 0.3859 0.7500 0.7700
La 0.1217 0.7500 0.2457
La 0.8783 0.2500 0.7543
CELL_PARAMETERS angstrom
4.4211 0.0000 -0.0110
0.0000 5.0280 0.0000
-2.1962 0.0000 6.2959
```

=====

Which of them is most stable, and which least? Most stable: one; least stable: two.

=====

--- one ---
Density functional theory data (PBE) for an optimized crystal structure of La4Bi3. Values from VASP.

Summary:
Calculated density: 8.14 g/cm³
SG: No. 220
Size of the total moment: 0.0 μB per cell

Geometry as Quantum ESPRESSO input:
```
&SYSTEM
  ibrav = 0, nat = 14, ntyp = 2
/
ATOMIC_SPECIES
Bi 208.98 Bi.upf
La 138.91 La.upf
ATOMIC_POSITIONS crystal
Bi 0.3750 0.6250 0.7500
Bi 0.7500 0.3750 0.6250
Bi 0.2500 0.1250 0.8750
Bi 0.1250 0.8750 0.2500
Bi 0.6250 0.7500 0.3750
Bi 0.8750 0.2500 0.1250
La 0.0000 0.1430 0.5000
La 0.6430 0.5000 0.0000
La 0.5000 0.0000 0.6430
La 0.8570 0.8570 0.8570
La 0.3570 0.3570 0.3570
La 0.5000 0.0000 0.1430
La 0.0000 0.6430 0.5000
La 0.1430 0.5000 0.0000
CELL_PARAMETERS angstrom
-4.0468 4.3183 -6.1802
5.1277 -5.8789 -3.5163
-5.7544 -3.8672 5.0150
```

=====

--- two ---
Density functional theory data (PBE) for an optimized crystal structure of La4Bi3. Values from VASP.

Summary:
Calculated density: 7.75 g/cm³
SG: No. 166
Size of the total moment: 0.0 μB per cell

Geometry as Quantum ESPRESSO input:
```
&SYSTEM
  ibrav = 0, nat = 7, ntyp = 2
/
ATOMIC_SPECIES
La 138.91 La.upf
Bi 208.98 Bi.upf
ATOMIC_POSITIONS crystal
La 0.8802 0.8802 0.3595
La 0.6297 0.6297 0.1110
La 0.3703 0.3703 0.8890
La 0.1198 0.1198 0.6405
Bi 0.0000 0.0000 0.0000
Bi 0.7601 0.7601 0.7196
Bi 0.2399 0.2399 0.2804
CELL_PARAMETERS angstrom
5.4642 0.0000 1.0998
2.6214 4.7944 1.0998
0.8485 0.5031 9.9083
```

=====

Which of them is most stable, and which least? Most stable: one; least stable: two.

=====

--- one ---
Density functional theory data (PBE) for an optimized crystal structure of LiLaBi. Values from VASP.

Summary:
Calculated density: 7.06 g/cm³
SG: No. 187
Size of the total moment: 0.9 μB per cell

Geometry as Quantum ESPRESSO input:
```
&SYSTEM
  ibrav = 0, nat = 3, ntyp = 3
/
ATOMIC_SPECIES
Bi 208.98 Bi.upf
La 138.91 La.upf
Li 6.94 Li.upf
ATOMIC_POSITIONS crystal
Bi 0.1666 0.3333 0.6667
La 0.6665 0.6667 0.3333
Li 0.1669 0.0000 0.0000
CELL_PARAMETERS angstrom
4.4228 0.0000 0.0000
0.0000 4.6669 0.0000
0.0000 -2.3335 4.0417
```

=====

--- two ---
Density functional theory data (PBE) for an optimized crystal structure of LiLaBi. Values from VASP.

Summary:
Calculated density: 6.99 g/cm³
SG: No. 107
Size of the total moment: 0.0 μB per cell

Geometry as Quantum ESPRESSO input:
```
&SYSTEM
  ibrav = 0, nat = 3, ntyp = 3
/
ATOMIC_SPECIES
Bi 208.98 Bi.upf
La 138.91 La.upf
Li 6.94 Li.upf
ATOMIC_POSITIONS crystal
Bi 0.2522 0.2522 0.5045
La 0.9493 0.9493 0.8986
Li 0.6485 0.6485 0.2970
CELL_PARAMETERS angstrom
3.8044 0.0000 0.0000
0.0000 3.8044 0.0000
-1.9022 -1.9022 5.8271
```

=====

--- three ---
Density functional theory data (PBE) for an optimized crystal structure of LiLaBi. Values from VASP.

Summary:
Calculated density: 7.12 g/cm³
SG: No. 216
Size of the total moment: 0.0 μB per cell

Geometry as Quantum ESPRESSO input:
```
&SYSTEM
  ibrav = 0, nat = 3, ntyp = 3
/
ATOMIC_SPECIES
La 138.91 La.upf
Li 6.94 Li.upf
Bi 208.98 Bi.upf
ATOMIC_POSITIONS crystal
La 0.5000 0.5000 0.5000
Li 0.2500 0.2500 0.2500
Bi 0.0000 0.0000 0.0000
CELL_PARAMETERS angstrom
4.8903 0.0000 0.0000
2.4452 4.2352 0.0000
2.4452 1.4117 3.9929
```

=====

Which of them is most stable, and which least? Most stable: one; least stable: two.

=====

--- one ---
Density functional theory data (PBE) for an optimized crystal structure of LiLaBi. Values from VASP.

Summary:
Calculated density: 7.18 g/cm³
SG: No. 194
Size of the total moment: 0.0 μB per cell

Geometry as Quantum ESPRESSO input:
```
&SYSTEM
  ibrav = 0, nat = 6, ntyp = 3
/
ATOMIC_SPECIES
Li 6.94 Li.upf
La 138.91 La.upf
Bi 208.98 Bi.upf
ATOMIC_POSITIONS crystal
Li 0.3332 0.1668 0.7500
Li 0.6668 0.8332 0.2500
La 0.0000 0.5000 0.0000
La 0.0000 0.5000 0.5000
Bi 0.3333 0.1667 0.2500
Bi 0.6667 0.8333 0.7500
CELL_PARAMETERS angstrom
-1.9635 -3.7631 -2.4233
4.5643 1.4351 -0.9980
2.7726 -4.9908 5.5035
```

=====

--- two ---
Density functional theory data (PBE) for an optimized crystal structure of LiLaBi. Values from VASP.

Summary:
Calculated density: 5.97 g/cm³
SG: No. 62
Size of the total moment: 3.7 μB per cell

Geometry as Quantum ESPRESSO input:
```
&SYSTEM
  ibrav = 0, nat = 12, ntyp = 3
/
ATOMIC_SPECIES
La 138.91 La.upf
Bi 208.98 Bi.upf
Li 6.94 Li.upf
ATOMIC_POSITIONS crystal
La 0.2500 0.7423 0.4207
La 0.2500 0.7577 0.9207
La 0.7500 0.2577 0.5793
La 0.7500 0.2423 0.0793
Bi 0.7500 0.4793 0.8332
Bi 0.7500 0.0207 0.3332
Bi 0.2500 0.9793 0.6668
Bi 0.2500 0.5207 0.1668
Li 0.2500 0.2369 0.3354
Li 0.7500 0.7631 0.6646
Li 0.2500 0.2631 0.8354
Li 0.7500 0.7369 0.1646
CELL_PARAMETERS angstrom
-1.5690 4.5254 -0.0335
-6.6149 -2.3028 -1.2500
-1.9489 -0.5913 11.4027
```

=====

Which of them is most stable, and which least? Most stable: one; least stable: two.

=====

--- one ---
Density functional theory data (PBE) for an optimized crystal structure of Li3LaBi3. Values from VASP.

Summary:
Calculated density: 6.66 g/cm³
SG: No. 223
Size of the total moment: 0.0 μB per cell

Geometry as Quantum ESPRESSO input:
```
&SYSTEM
  ibrav = 0, nat = 14, ntyp = 3
/
ATOMIC_SPECIES
Bi 208.98 Bi.upf
La 138.91 La.upf
Li 6.94 Li.upf
ATOMIC_POSITIONS crystal
Bi 0.0000 0.5000 0.7500
Bi 0.5000 0.7500 0.0000
Bi 0.0000 0.5000 0.2500
Bi 0.2500 0.0000 0.5000
Bi 0.7500 0.0000 0.5000
Bi 0.5000 0.2500 0.0000
La 0.5000 0.5000 0.5000
La 0.0000 0.0000 0.0000
Li 0.5000 0.0000 0.2500
Li 0.0000 0.2500 0.5000
Li 0.2500 0.5000 0.0000
Li 0.5000 0.0000 0.7500
Li 0.0000 0.7500 0.5000
Li 0.7500 0.5000 0.0000
CELL_PARAMETERS angstrom
-2.7797 -2.6435 -6.2334
6.7553 -0.6265 -2.7467
0.4585 -6.7963 2.6778
```

=====

--- two ---
Density functional theory data (PBE) for an optimized crystal structure of Li3LaBi3. Values from VASP.

Summary:
Calculated density: 6.57 g/cm³
SG: No. 148
Size of the total moment: 0.0 μB per cell

Geometry as Quantum ESPRESSO input:
```
&SYSTEM
  ibrav = 0, nat = 14, ntyp = 3
/
ATOMIC_SPECIES
Bi 208.98 Bi.upf
Li 6.94 Li.upf
La 138.91 La.upf
ATOMIC_POSITIONS crystal
Bi 0.1340 0.6697 0.7460
Bi 0.3303 0.5497 0.2540
Bi 0.5497 0.8660 0.2540
Bi 0.4503 0.1340 0.7460
Bi 0.6697 0.4503 0.7460
Bi 0.8660 0.3303 0.2540
Li 0.0680 0.3233 0.7660
Li 0.9320 0.6767 0.2340
Li 0.6767 0.1573 0.2340
Li 0.3233 0.8427 0.7660
Li 0.8427 0.0680 0.7660
Li 0.1573 0.9320 0.2340
La 0.2817 0.2817 0.1548
La 0.7183 0.7183 0.8452
CELL_PARAMETERS angstrom
-3.2030 -6.8546 5.4040
3.0406 -8.6994 -1.2339
3.8832 -4.2989 4.8473
```

=====

Which of them is most stable, and which least? Most stable: two; least stable: one.